Entry 1:
This record from Alexandria describes Mn2Sb after structural relaxation. The functional is GGA-PBE.

```
Mn2Sb
1.0
0.0000 3.6228 3.6228
3.6228 0.0000 3.6228
3.6228 3.6228 0.0000
Mn Sb
4 2
direct
0.0000 0.0000 0.0000
0.0000 0.0000 0.5000
0.0000 0.5000 0.0000
0.5000 0.0000 0.0000
0.3750 0.3750 0.3750
0.6250 0.6250 0.6250
```

Formation energy from raw total energies   0.314 eV per atom
Calculated volume   95 Å³ per cell



Entry 2:
This record from Alexandria describes Pu3As4Rh4 after structural relaxation. The functional is GGA-PBE.

```
Pu3As4Rh4
1.0
-2.0531 3.6069 6.8221
2.0531 -3.6069 6.8221
2.0531 3.6069 -6.8221
Pu As Rh
3 4 4
direct
0.0000 0.0000 0.0000
0.3825 0.8825 0.5000
0.6175 0.1175 0.5000
0.2168 0.2168 0.0000
0.2837 0.5000 0.7837
0.7163 0.5000 0.2163
0.7832 0.7832 0.0000
0.0203 0.3196 0.7007
0.3811 0.6804 0.7007
0.6189 0.3196 0.2993
0.9797 0.6804 0.2993
```

Calculated volume   202 Å³ per cell
Formation energy from the elements   -8.85 eV/f.u.



Entry 3:
This record from Alexandria describes NpPaTi2 after structural relaxation. The functional is GGA-PBE.

```
NpPaTi2
1.0
2.9059 0.0000 0.0000
0.0000 2.9059 0.0000
0.0000 0.0000 9.5212
Np Pa Ti
1 1 2
direct
0.0000 0.0000 0.0000
0.0000 0.0000 0.5000
0.5000 0.5000 0.2443
0.5000 0.5000 0.7557
```

Calculated volume   80 Å³ per cell
Energy above the most stable polymorph in this dataset   0.000 eV/atom
Formation energy from the elements   1.10 eV/f.u.



Entry 4:
This record from Alexandria describes CeHClO2 after structural relaxation. The functional is GGA-PBE.

```
CeHClO2
1.0
5.5661 0.0000 0.0000
0.0000 3.6625 0.0000
-1.2060 0.0000 6.8963
Ce H Cl O
2 2 2 4
direct
0.1703 0.2500 0.2060
0.8297 0.7500 0.7940
0.4157 0.2500 0.8185
0.5843 0.7500 0.1815
0.2538 0.7500 0.5525
0.7462 0.2500 0.4475
0.0650 0.2500 0.8780
0.4049 0.7500 0.1481
0.5951 0.2500 0.8519
0.9350 0.7500 0.1220
```

Electronic total energy   -6.49 eV per atom
Calculated volume   141 Å³ per cell



Entry 5:
This record from Alexandria describes Cu3Ni3Se8 after structural relaxation. The functional is GGA-PBE.

```
Cu3Ni3Se8
1.0
3.6031 2.0802 5.8794
-3.6031 2.0802 5.8794
0.0000 -4.1605 5.8794
Cu Ni Se
3 3 8
direct
0.0000 0.0000 0.0000
0.3762 0.3762 0.3762
0.6238 0.6238 0.6238
0.0000 0.0000 0.5000
0.0000 0.5000 0.0000
0.5000 0.0000 0.0000
0.2173 0.7563 0.7563
0.2389 0.2389 0.2389
0.2437 0.2437 0.7827
0.2437 0.7827 0.2437
0.7563 0.2173 0.7563
0.7563 0.7563 0.2173
0.7611 0.7611 0.7611
0.7827 0.2437 0.2437
```

Formation energy from raw total energies   -0.203 eV per atom
Calculated volume   264 Å³ per cell



Entry 6:
This record from Alexandria describes Ba2LiAl3Au12 after structural relaxation. The functional is GGA-PBE.

```
Ba2LiAl3Au12
1.0
4.4386 2.5626 6.5506
-4.4386 2.5626 6.5506
0.0000 -5.1252 6.5506
Ba Li Al Au
2 1 3 12
direct
0.1204 0.1204 0.1204
0.8796 0.8796 0.8796
0.5000 0.5000 0.5000
0.0000 0.5000 0.5000
0.5000 0.0000 0.5000
0.5000 0.5000 0.0000
0.1485 0.6156 0.6156
0.1542 0.1542 0.6192
0.1542 0.6192 0.1542
0.3808 0.8458 0.8458
0.3844 0.3844 0.8515
0.3844 0.8515 0.3844
0.6156 0.1485 0.6156
0.6156 0.6156 0.1485
0.6192 0.1542 0.1542
0.8458 0.3808 0.8458
0.8458 0.8458 0.3808
0.8515 0.3844 0.3844
```

Calculated volume   447 Å³ per cell
Formation energy from the elements   -4.65 eV/f.u.



Entry 7:
This record from Alexandria describes YIn2Rh after structural relaxation. The functional is GGA-PBE.

```
YIn2Rh
1.0
-2.0859 2.0859 10.7727
2.0859 -2.0859 10.7727
2.0859 2.0859 -10.7727
Y In Rh
2 4 2
direct
0.0000 0.0000 0.0000
0.7500 0.2500 0.5000
0.1407 0.6250 0.0157
0.3750 0.3907 0.5157
0.6093 0.1250 0.9843
0.8750 0.8593 0.4843
0.2500 0.7500 0.5000
0.5000 0.5000 0.0000
```

Calculated volume   187 Å³ per cell
Formation energy from the elements   -0.88 eV/f.u.



Entry 8:
This record from Alexandria describes Na3Pu2HfSe6 after structural relaxation. The functional is GGA-PBE.

```
Na3Pu2HfSe6
1.0
3.5576 -6.1661 0.0000
3.5576 6.1661 0.0000
-2.3870 0.0000 6.9791
Na Pu Hf Se
3 2 1 6
direct
0.0000 0.0000 0.0000
0.3308 0.6692 0.0000
0.6692 0.3308 0.0000
0.1665 0.8335 0.5000
0.8335 0.1665 0.5000
0.5000 0.5000 0.5000
0.1110 0.4239 0.2717
0.2636 0.2636 0.7264
0.4239 0.1110 0.2717
0.5761 0.8890 0.7283
0.7364 0.7364 0.2736
0.8890 0.5761 0.7283
```

Formation energy from raw total energies   -1.372 eV per atom
Calculated volume   306 Å³ per cell



Entry 9:
This record from Alexandria describes Ho3Tl2H2 after structural relaxation. The functional is GGA-PBE.

```
Ho3Tl2H2
1.0
5.2136 -2.3045 0.0000
5.2136 2.3045 0.0000
-2.0320 0.0000 6.1850
Ho Tl H
3 2 2
direct
0.0000 0.0000 0.0000
0.3372 0.3372 0.6501
0.6628 0.6628 0.3499
0.3370 0.3370 0.1579
0.6630 0.6630 0.8421
0.1227 0.1227 0.3810
0.8773 0.8773 0.6190
```

Calculated volume   149 Å³ per cell
Energy above the most stable polymorph in this dataset   0.210 eV/atom



Entry 10:
This record from Alexandria describes Cr2IrRh8 after structural relaxation. The functional is GGA-PBE.

```
Cr2IrRh8
1.0
3.4138 -5.8439 0.0000
3.4138 5.8439 0.0000
-1.7986 0.0000 4.0285
Cr Ir Rh
2 1 8
direct
0.1921 0.8079 0.0000
0.8079 0.1921 0.0000
0.5000 0.5000 0.5000
0.0968 0.0968 0.3087
0.1738 0.4062 0.8808
0.2787 0.7213 0.5000
0.4062 0.1738 0.8808
0.5938 0.8262 0.1192
0.7213 0.2787 0.5000
0.8262 0.5938 0.1192
0.9032 0.9032 0.6913
```

Calculated volume   161 Å³ per cell
Energy above the most stable polymorph in this dataset   0.056 eV/atom
Formation energy from the elements   2.25 eV/f.u.



Entry 11:
This record from Alexandria describes AlPt3F after structural relaxation. The functional is GGA-PBE.

```
AlPt3F
1.0
4.5961 0.0000 0.0000
0.0000 4.5961 0.0000
0.0000 0.0000 4.5961
Al Pt F
1 3 1
direct
0.0000 0.0000 0.0000
0.0000 0.0000 0.5000
0.0000 0.5000 0.0000
0.5000 0.0000 0.0000
0.5000 0.5000 0.5000
```

Formation energy from raw total energies   0.535 eV per atom
Calculated volume   97 Å³ per cell
Energy above the most stable polymorph in this dataset   0.016 eV/atom



Entry 12:
This record from Alexandria describes RbTmRuO6 after structural relaxation. The functional is GGA-PBE.

```
RbTmRuO6
1.0
5.5826 0.0000 0.0000
-2.7913 4.8347 0.0000
0.0000 0.0000 6.1615
Rb Tm Ru O
1 1 1 6
direct
0.0000 0.0000 0.0000
0.3333 0.6667 0.5000
0.6667 0.3333 0.5000
0.4131 0.0425 0.6791
0.4131 0.3706 0.3209
0.6294 0.0425 0.3209
0.6294 0.5869 0.6791
0.9575 0.3706 0.6791
0.9575 0.5869 0.3209
```

Formation energy from raw total energies   -1.537 eV per atom
Calculated volume   166 Å³ per cell



Entry 13:
This record from Alexandria describes Er2SnTe4 after structural relaxation. The functional is GGA-PBE.

```
Er2SnTe4
1.0
8.3032 -2.1913 0.0000
8.3032 2.1913 0.0000
-3.2654 0.0000 6.8553
Er Sn Te
2 1 4
direct
0.2394 0.2394 0.2233
0.7606 0.7606 0.7767
0.5000 0.5000 0.5000
0.1398 0.1398 0.4844
0.3733 0.3733 0.0412
0.6267 0.6267 0.9588
0.8602 0.8602 0.5156
```

Formation energy from raw total energies   -1.039 eV per atom
Calculated volume   249 Å³ per cell
Energy above the most stable polymorph in this dataset   0.000 eV/atom



Entry 14:
This record from Alexandria describes Co2TcCl after structural relaxation. The functional is GGA-PBE.

```
Co2TcCl
1.0
1.4794 -2.3752 0.0000
1.4794 2.3752 0.0000
0.0000 0.0000 7.9428
Co Tc Cl
2 1 1
direct
0.0000 0.0000 0.2494
0.0000 0.0000 0.7506
0.5000 0.5000 0.0000
0.5000 0.5000 0.5000
```

Formation energy from raw total energies   0.502 eV per atom
Calculated volume   56 Å³ per cell
Energy above the most stable polymorph in this dataset   0.207 eV/atom



Entry 15:
This record from Alexandria describes YbNi4Au after structural relaxation. The functional is GGA-PBE.

```
YbNi4Au
1.0
0.0000 3.4918 3.4918
3.4918 0.0000 3.4918
3.4918 3.4918 0.0000
Yb Ni Au
1 4 1
direct
0.0000 0.0000 0.0000
0.3754 0.3754 0.3754
0.3754 0.3754 0.8737
0.3754 0.8737 0.3754
0.8737 0.3754 0.3754
0.7500 0.7500 0.7500
```

Calculated volume   85 Å³ per cell
Formation energy from the elements   -1.36 eV/f.u.